Material: Y2Mn2GaRh5
Method: DFT, PBE
State: relaxed

Geometry as POSCAR:
```
Y2Mn2GaRh5
1.0
9.592 0.000 0.000
0.000 9.592 0.000
0.000 0.000 3.641
Y Mn Ga Rh
4 4 2 10
Direct
0.177 0.323 0.000 Y
0.323 0.823 0.000 Y
0.677 0.177 0.000 Y
0.823 0.677 0.000 Y
0.123 0.623 0.000 Mn
0.377 0.123 0.000 Mn
0.623 0.877 0.000 Mn
0.877 0.377 0.000 Mn
0.000 0.000 0.000 Ga
0.500 0.500 0.000 Ga
0.000 0.500 0.500 Rh
0.064 0.797 0.500 Rh
0.203 0.064 0.500 Rh
0.297 0.564 0.500 Rh
0.436 0.297 0.500 Rh
0.500 0.000 0.500 Rh
0.564 0.703 0.500 Rh
0.703 0.436 0.500 Rh
0.797 0.936 0.500 Rh
0.936 0.203 0.500 Rh
```

- SG: P4/mbm, No. 127
- Energy of formation from the pure elements: -0.46 eV/atom


Material: MnGaRu2
Method: DFT, PBE
State: relaxed

Geometry as POSCAR:
```
MnGaRu2
1.0
1.391 0.803 8.217
-1.391 0.803 8.217
0.000 -1.606 8.217
Mn Ga Ru
1 1 2
Direct
0.000 0.000 0.000 Mn
0.833 0.833 0.833 Ga
0.415 0.415 0.415 Ru
0.585 0.585 0.585 Ru
```

- SG: R3m, No. 160
- Energy of formation from the pure elements: -0.02 eV/atom